(1)
The following is a PBE calculation of a relaxed LiCr2Hg crystal, from the Alexandria database.

Values from the calculation:
**Volume**: 113.7 Å³ per cell
**Uncorrected energy**: -19.01 eV per formula unit

Cell lengths 4.826, 8.982, 2.622 Å; angles 90.00, 90.00, 90.00 degrees
Space group Cmmm (No. 65)
Symmetry-distinct sites (fractional):
Li 0.000 0.000 0.000 (multiplicity 2)
Cr 0.250 0.250 0.500 (multiplicity 4)
Hg 0.000 0.500 0.000 (multiplicity 2)

***

(2)
The following is a PBE calculation of a relaxed LiCr2Hg crystal, from the Alexandria database.

Values from the calculation:
**Volume**: 71.5 Å³ per cell
**Uncorrected energy**: -18.99 eV per formula unit

Cell lengths 3.364, 3.364, 6.317 Å; angles 90.00, 90.00, 90.00 degrees
Space group P4/mmm (No. 123)
Symmetry-distinct sites (fractional):
Li 0.000 0.000 0.000 (multiplicity 1)
Cr 0.500 0.500 0.247 (multiplicity 2)
Hg 0.000 0.000 0.500 (multiplicity 1)

***

(3)
The following is a PBE calculation of a relaxed LiCr2Hg crystal, from the Alexandria database.

Values from the calculation:
**Volume**: 124.0 Å³ per cell
**Uncorrected energy**: -20.00 eV per formula unit

Cell lengths 3.017, 4.657, 8.824 Å; angles 90.00, 90.00, 90.00 degrees
Space group Cmm2 (No. 35)
Symmetry-distinct sites (fractional):
Li 0.000 0.000 0.000 (multiplicity 2)
Cr 0.000 0.000 0.562 (multiplicity 2)
Cr 0.000 0.500 0.742 (multiplicity 2)
Hg 0.000 0.500 0.274 (multiplicity 2)

***

(4)
The following is a PBE calculation of a relaxed Li3CrHg crystal, from the Alexandria database.

Values from the calculation:
**Volume**: 124.5 Å³ per cell
**Offset from the most stable computed form**: 0.84 eV/f.u.

Cell lengths 4.993, 4.993, 4.993 Å; angles 90.00, 90.00, 90.00 degrees
Space group Pm-3m (No. 221)
Symmetry-distinct sites (fractional):
Li 0.000 0.000 0.500 (multiplicity 3)
Cr 0.000 0.000 0.000 (multiplicity 1)
Hg 0.500 0.500 0.500 (multiplicity 1)

***

(5)
The following is a PBE calculation of a relaxed Li3CrHg crystal, from the Alexandria database.

Values from the calculation:
**Volume**: 119.5 Å³ per cell
**Offset from the most stable computed form**: 0.00 eV/f.u.

Cell lengths 4.926, 4.926, 4.926 Å; angles 90.00, 90.00, 90.00 degrees
Space group Pm-3m (No. 221)
Symmetry-distinct sites (fractional):
Li 0.000 0.000 0.500 (multiplicity 3)
Cr 0.500 0.500 0.500 (multiplicity 1)
Hg 0.000 0.000 0.000 (multiplicity 1)

***

(6)
The following is a PBE calculation of a relaxed Li2CrHg crystal, from the Alexandria database.

Values from the calculation:
**Volume**: 136.8 Å³ per cell
**Uncorrected energy**: -13.32 eV per formula unit

Cell lengths 3.997, 4.065, 8.419 Å; angles 90.00, 90.00, 90.00 degrees
Space group Immm (No. 71)
Symmetry-distinct sites (fractional):
Li 0.000 0.000 0.250 (multiplicity 4)
Cr 0.000 0.500 0.000 (multiplicity 2)
Hg 0.000 0.500 0.500 (multiplicity 2)

***

(7)
The following is a PBE calculation of a relaxed Li2CrHg crystal, from the Alexandria database.

Values from the calculation:
**Volume**: 279.6 Å³ per cell
**Uncorrected energy**: -13.25 eV per formula unit

Cell lengths 6.539, 6.539, 6.539 Å; angles 90.00, 90.00, 90.00 degrees
Space group F-43m (No. 216)
Symmetry-distinct sites (fractional):
Li 0.000 0.000 0.000 (multiplicity 4)
Li 0.250 0.250 0.250 (multiplicity 4)
Cr 0.000 0.000 0.500 (multiplicity 4)
Hg 0.250 0.250 0.750 (multiplicity 4)

***

(8)
The following is a PBE calculation of a relaxed LiCr2Hg crystal, from the Alexandria database.

Values from the calculation:
**Volume**: 58.1 Å³ per cell
**Uncorrected energy**: -19.35 eV per formula unit

Cell lengths 2.740, 4.332, 4.896 Å; angles 90.00, 90.00, 90.00 degrees
Space group Pmmm (No. 47)
Symmetry-distinct sites (fractional):
Li 0.000 0.000 0.000 (multiplicity 1)
Cr 0.500 0.500 0.196 (multiplicity 2)
Hg 0.000 0.000 0.500 (multiplicity 1)